Entry from the Alexandria database: a relaxed Cd12Ag6Pd crystal (PBE).

Summary:
* distance to the lowest polymorph of the same formula: 0.0000 eV/atom
* total energy: -1.83 eV/atom
* total magnetization: 0.00 μB/cell
* theoretical density: 9.07 g/cm3

Lattice parameters (Å, degrees): 10.3031 10.3031 12.5631 90.00 90.00 120.00
Space group R-3 (No. 148, hexagonal axes)
Asymmetric unit:
Cd (0.0339, 0.1842, 0.3179)
Cd (0.0611, 0.8500, 0.9100)
Ag (0.0246, 0.4343, 0.2038)
Pd (0.0000, 0.0000, 0.5000)